{
  "formula": "NpCdCu",
  "functional": "PBE",
  "state": "optimized geometry",
  "lattice_angstrom": [[0.000, 3.269, 3.269], [3.269, 0.000, 3.269], [3.269, 3.269, 0.000]],
  "species": ["Np", "Cd", "Cu"],
  "fractional_positions": [[0.000, 0.000, 0.000], [0.500, 0.500, 0.500], [0.750, 0.750, 0.750]],
  "space_group": "F-43m (216)",
  "e_form_ev_per_atom": 1.23
}

{
  "formula": "CdCuB4",
  "functional": "PBE",
  "state": "optimized geometry",
  "lattice_angstrom": [[3.063, 0.000, 0.000], [-1.531, 2.653, 0.000], [0.000, 0.000, 7.316]],
  "species": ["Cd", "Cu", "B", "B", "B", "B"],
  "fractional_positions": [[0.000, 0.000, 0.000], [0.000, 0.000, 0.500], [0.333, 0.667, 0.282], [0.333, 0.667, 0.718], [0.667, 0.333, 0.282], [0.667, 0.333, 0.718]],
  "de_polymorph_ev_per_atom": 0.000,
  "space_group": "P6/mmm (191)"
}

{
  "formula": "NdCuAsP",
  "functional": "PBE",
  "state": "optimized geometry",
  "lattice_angstrom": [[3.896, 0.000, 0.000], [0.000, 3.896, 0.000], [0.000, 0.000, 10.140]],
  "species": ["Nd", "Nd", "Cu", "Cu", "As", "As", "P", "P"],
  "fractional_positions": [[0.250, 0.250, 0.227], [0.750, 0.750, 0.773], [0.250, 0.750, 0.500], [0.750, 0.250, 0.500], [0.250, 0.250, 0.653], [0.750, 0.750, 0.347], [0.250, 0.750, 0.000], [0.750, 0.250, 0.000]],
  "de_polymorph_ev_per_atom": 0.108,
  "space_group": "P4/nmm (129)"
}

{
  "formula": "BeCuTc2",
  "functional": "PBE",
  "state": "optimized geometry",
  "lattice_angstrom": [[0.000, 2.940, 2.940], [2.940, 0.000, 2.940], [2.940, 2.940, 0.000]],
  "species": ["Be", "Cu", "Tc", "Tc"],
  "fractional_positions": [[0.000, 0.000, 0.000], [0.250, 0.250, 0.250], [0.500, 0.500, 0.500], [0.750, 0.750, 0.750]],
  "space_group": "F-43m (216)",
  "energy_ev_per_atom": -6.92
}

{
  "formula": "Sm3Mg3Al2Tl",
  "functional": "PBE",
  "state": "optimized geometry",
  "lattice_angstrom": [[7.531, 0.000, 0.000], [-3.766, 6.522, 0.000], [0.000, 0.000, 4.637]],
  "species": ["Sm", "Sm", "Sm", "Mg", "Mg", "Mg", "Al", "Al", "Tl"],
  "fractional_positions": [[0.000, 0.567, 0.000], [0.433, 0.433, 0.000], [0.567, 0.000, 0.000], [0.000, 0.248, 0.500], [0.248, 0.000, 0.500], [0.752, 0.752, 0.500], [0.333, 0.667, 0.500], [0.667, 0.333, 0.500], [0.000, 0.000, 0.000]],
  "space_group": "P-62m (189)",
  "energy_ev_per_atom": -3.52
}

{
  "formula": "TaCdTc",
  "functional": "PBE",
  "state": "optimized geometry",
  "lattice_angstrom": [[0.000, 3.144, 3.144], [3.144, 0.000, 3.144], [3.144, 3.144, 0.000]],
  "species": ["Ta", "Cd", "Tc"],
  "fractional_positions": [[0.000, 0.000, 0.000], [0.750, 0.750, 0.750], [0.250, 0.250, 0.250]],
  "de_polymorph_ev_per_atom": 0.206,
  "space_group": "F-43m (216)",
  "e_form_ev_per_atom": 0.87
}